[1]
Entry from Alexandria: a relaxed structure of AlHgAu2 (PBE).

Structure (POSCAR):
```
AlHgAu2
1.0
3.070 -2.868 0.000
3.070 2.868 0.000
-2.563 0.000 4.259
Al Hg Au
1 1 2
Direct
0.000 0.000 0.000 Al
0.267 0.733 0.500 Hg
0.513 0.487 0.000 Au
0.774 0.226 0.500 Au
```

Computed properties:
* energy: -10.73 eV per cell
* calculated formation energy: -3 kJ per mole of atoms
* mass density: 13.8 g/cm3

---

[2]
Entry from Alexandria: a relaxed structure of Al2HgAu (PBE).

Structure (POSCAR):
```
Al2HgAu
1.0
3.035 0.000 0.000
0.000 3.035 0.000
0.000 0.000 8.203
Al Hg Au
2 1 1
Direct
0.000 0.000 0.000 Al
0.500 0.500 0.238 Al
0.500 0.500 0.729 Hg
0.000 0.000 0.438 Au
```

Computed properties:
* energy: -11.13 eV per cell
* calculated formation energy: -1 kJ per mole of atoms
* mass density: 9.9 g/cm3

---

[3]
Entry from Alexandria: a relaxed structure of Al2HgAu (PBE).

Structure (POSCAR):
```
Al2HgAu
1.0
-3.637 3.637 3.173
3.637 -3.637 3.173
3.637 3.637 -3.173
Al Hg Au
4 2 2
Direct
0.102 0.625 0.977 Al
0.375 0.352 0.477 Al
0.648 0.125 0.023 Al
0.875 0.898 0.523 Al
0.250 0.750 0.500 Hg
0.500 0.500 0.000 Hg
0.000 0.000 0.000 Au
0.750 0.250 0.500 Au
```

Computed properties:
* energy: -21.75 eV per cell
* calculated formation energy: 5 kJ per mole of atoms
* mass density: 8.9 g/cm3

---

mass density of number 2 (Al2HgAu)? 9.9 g/cm3